First-principles (PBE) data for a relaxed NdRe4SiGe crystal, as listed in OQMD via LeMat-Bulk.

a = 4.1261 Å, b = 7.4280 Å, c = 7.4280 Å
α = 32.61°, β = 90.00°, γ = 90.00°
Closest atoms and distances in Å follow each position.
Element x y z (fractional)
Re (0.5000, 0.8102, 0.8102)  2 Si 2.51, 4 Re 2.59-2.66
Re (0.0000, 0.3044, 0.3044)  2 Si 2.54, 4 Re 2.56-2.59
Re (0.0000, 0.7002, 0.7002)  4 Re 2.56-2.59, 2 Ge 2.64
Si (0.5000, 0.4087, 0.4087)  1 Ge 2.51, 4 Re 2.51-2.54
Ge (0.5000, 0.5845, 0.5845)  1 Si 2.51, 4 Re 2.61-2.64
Nd (0.0000, 0.9977, 0.9977)  4 Ge 3.18, 4 Si 3.20, 8 Re 3.38-3.56
Re (0.5000, 0.1943, 0.1943)  4 Re 2.59-2.66, 2 Ge 2.61

Properties
- crystal system = orthorhombic
- total energy (eV per atom) = -9.575
- SG = Amm2 (38)
- calculated volume (Å³/cell) = 123